This record from Alexandria via LeMat-Bulk describes AcPbS2O6 after structural relaxation. The functional is PBE.

The calculation puts the size of the total moment at 0.0 μB/cell. The calculation puts the calculated volume at 520.5 Å³ per cell. Its energy is -183.2 eV per cell. For the formation energy from raw total energies, the calculation gives -1.526 eV/atom.

The structure belongs to space group R-3 (No. 148, hexagonal axes); the cell edges are 5.2890, 5.2890 and 21.4863 Å and the angles 90.00°, 90.00° and 120.00°. The asymmetric unit holds Ac at (0.0000, 0.0000, 0.0000), Pb at (0.0000, 0.0000, 0.5000), S at (0.0000, 0.0000, 0.2745) and O at (0.0414, 0.7528, 0.7548).

This record from Alexandria via LeMat-Bulk describes AcSbPb2O6 after structural relaxation. The functional is PBE.

The calculation puts the size of the total moment at 0.0 μB/cell. The calculation puts the calculated volume at 334.8 Å³ per cell. Its energy is -127.0 eV per cell. For the formation energy from raw total energies, the calculation gives -1.813 eV/atom.

The structure belongs to space group P2_1/c (No. 14); the cell edges are 5.780, 6.605 and 10.498 Å and the angles 90.00°, 123.35° and 90.00°. The asymmetric unit holds Ac at (0.000, 0.000, 0.000), Sb at (0.500, 0.000, 0.500), Pb at (0.207, 0.055, 0.716), O at (0.188, 0.165, 0.486), O at (0.249, 0.743, 0.942) and O at (0.350, 0.054, 0.277).

This record from Alexandria via LeMat-Bulk describes Ac2SbPbO6 after structural relaxation. The functional is PBE.

The calculation puts the size of the total moment at 1.0 μB/cell. The calculation puts the calculated volume at 187.1 Å³ per cell. Its energy is -66.9 eV per cell. For the formation energy from raw total energies, the calculation gives -2.109 eV/atom.

The structure belongs to space group P4mm (No. 99); the cell edges are 5.666, 5.666 and 5.827 Å and the angles 90.00°, 90.00° and 90.00°. The asymmetric unit holds Ac at (0.000, 0.500, 0.000), Sb at (0.000, 0.000, 0.588), Pb at (0.500, 0.500, 0.541), O at (0.000, 0.000, 0.211), O at (0.233, 0.233, 0.743) and O at (0.500, 0.500, 0.117).

What is the formula in the third record? Ac2SbPbO6